Below is a relaxed structure of Cd5Pd6Pt, with properties calculated at the PBE-GGA level.

Structure (POSCAR):
```
Cd5Pd6Pt
1.0
-2.158 3.700 6.430
2.158 -3.700 6.430
2.158 3.700 -6.430
Cd Pd Pt
5 6 1
Direct
0.000 0.000 0.000
0.169 0.669 0.500
0.341 0.341 0.000
0.659 0.659 0.000
0.831 0.331 0.500
0.082 0.834 0.248
0.246 0.500 0.746
0.414 0.166 0.248
0.586 0.834 0.752
0.754 0.500 0.254
0.918 0.166 0.752
0.500 0.000 0.500
```

Computed properties:
Spin magnetization ... 0.0 μB/f.u.
V ... 17.11 Å³ per atom
Calculated density ... 11.3 g cm⁻³
Fermi-level density of states ... 0.264 states/eV/atom
Formation energy ... -0.3599 eV per atom



Below is a relaxed structure of LiCaAl2, with properties calculated at the PBE-GGA level.

Structure (POSCAR):
```
LiCaAl2
1.0
3.269 0.000 0.000
0.000 4.577 0.000
-1.023 0.000 5.875
Li Ca Al
1 1 2
Direct
0.000 0.000 0.000
0.233 0.500 0.643
0.613 0.500 0.163
0.653 0.000 0.408
```

Computed properties:
Spin magnetization ... 0.0 μB/f.u.
V ... 21.97 Å³ per atom
Calculated density ... 1.9 g cm⁻³
Fermi-level density of states ... 0.410 states/eV/atom
Formation energy ... -0.1080 eV per atom



Below is a relaxed structure of Pa2MnP3Ir4, with properties calculated at the PBE-GGA level.

Structure (POSCAR):
```
Pa2MnP3Ir4
1.0
3.996 0.000 0.000
0.000 3.996 0.000
0.000 0.000 10.345
Pa Mn P Ir
2 1 3 4
Direct
0.000 0.500 0.249
0.500 0.000 0.751
0.000 0.000 0.500
0.000 0.500 0.866
0.500 0.000 0.134
0.500 0.500 0.500
0.000 0.000 0.000
0.000 0.500 0.645
0.500 0.000 0.355
0.500 0.500 0.000
```

Computed properties:
Spin magnetization ... 3.7 μB/f.u.
V ... 16.52 Å³ per atom
Calculated density ... 13.9 g cm⁻³
Fermi-level density of states ... 0.625 states/eV/atom
Formation energy ... -0.8079 eV per atom



Below is a relaxed structure of ZrNb, with properties calculated at the PBE-GGA level.

Structure (POSCAR):
```
ZrNb
1.0
0.000 2.822 2.822
2.822 0.000 2.822
2.822 2.822 0.000
Zr Nb
1 1
Direct
0.000 0.000 0.000
0.500 0.500 0.500
```

Computed properties:
Spin magnetization ... 0.0 μB/f.u.
V ... 22.47 Å³ per atom
Calculated density ... 6.8 g cm⁻³
Fermi-level density of states ... 2.005 states/eV/atom
Formation energy ... 0.9866 eV per atom



Below is a relaxed structure of La2InRe, with properties calculated at the PBE-GGA level.

Structure (POSCAR):
```
La2InRe
1.0
2.454 -2.463 0.000
2.454 2.463 0.000
0.000 0.000 9.009
La In Re
2 1 1
Direct
0.000 0.000 0.202
0.000 0.000 0.798
0.500 0.500 0.500
0.500 0.500 0.000
```

Computed properties:
Spin magnetization ... 0.0 μB/f.u.
V ... 27.23 Å³ per atom
Calculated density ... 8.8 g cm⁻³
Fermi-level density of states ... 1.508 states/eV/atom
Formation energy ... 0.0403 eV per atom



Below is a relaxed structure of BaLaZr, with properties calculated at the PBE-GGA level.

Structure (POSCAR):
```
BaLaZr
1.0
5.830 0.000 0.000
-2.915 5.049 0.000
0.000 0.000 3.416
Ba La Zr
1 1 1
Direct
0.000 0.000 0.000
0.667 0.333 0.500
0.333 0.667 0.000
```

Computed properties:
Spin magnetization ... 0.0 μB/f.u.
V ... 33.52 Å³ per atom
Calculated density ... 6.1 g cm⁻³
Fermi-level density of states ... 1.284 states/eV/atom
Formation energy ... 0.4758 eV per atom



Number 6 is which compound? BaLaZr



Which of these has the lowest V? Pa2MnP3Ir4



Which value of calculated density does entry 2 give? 1.9 g cm⁻³